# NbIn2Pd2 meta-GGA SCAN PBEsol geometry
data_NbIn2Pd2
_chemical_formula_sum 'Nb2 In4 Pd4'
_symmetry_space_group_name_H-M 'I 4/m m m'
_symmetry_Int_Tables_number 139
_symmetry_space_group_name_Hall '-I 4 2'
_cell_length_a 3.8504
_cell_length_b 3.8504
_cell_length_c 12.6153
_cell_angle_alpha 90.00
_cell_angle_beta 90.00
_cell_angle_gamma 90.00
loop_
_atom_site_label
_atom_site_type_symbol
_atom_site_fract_x
_atom_site_fract_y
_atom_site_fract_z
Nb1 Nb 0.0000 0.0000 0.0000
In1 In 0.0000 0.0000 0.3932
Pd1 Pd 0.0000 0.5000 0.2500
# * mass density: 9.51 Mg/m³
# * total DFT energy (no corrections): -33.017 eV per atom
# * energy relative to the elements: 74 meV/atom